Record 1
Density functional theory data (GGA-PBE) for a relaxed structure of SrNiPt2.

Cell and atoms, written as CIF:
```
data_SrNiPt2
_chemical_formula_sum 'Sr4 Ni4 Pt8'
_space_group_name_H-M_alt 'F -4 3 m'
_space_group_IT_number 216
_space_group_name_Hall 'F -4 2 3'
_cell_length_a 6.6395
_cell_length_b 6.6395
_cell_length_c 6.6395
_cell_angle_alpha 90.00
_cell_angle_beta 90.00
_cell_angle_gamma 90.00
loop_
_atom_site_label
_atom_site_type_symbol
_atom_site_fract_x
_atom_site_fract_y
_atom_site_fract_z
_atom_site_occupancy
Sr1 Sr 0.0000 0.0000 0.0000 1
Ni1 Ni 0.2500 0.2500 0.7500 1
Pt1 Pt 0.0000 0.0000 0.5000 1
Pt2 Pt 0.2500 0.2500 0.2500 1
```

Computed properties:
E = -4.8989 eV per atom
DFT formation energy = -0.1 eV per formula unit
total magnetization = 0.00 Bohr magnetons per cell

---

Record 2
Density functional theory data (GGA-PBE) for a relaxed structure of GeSe2NCl.

Cell and atoms, written as CIF:
```
data_GeSe2NCl
_chemical_formula_sum 'Ge1 Se2 N1 Cl1'
_space_group_name_H-M_alt 'P 4/m m m'
_space_group_IT_number 123
_space_group_name_Hall '-P 4 2'
_cell_length_a 5.3929
_cell_length_b 5.3929
_cell_length_c 3.4745
_cell_angle_alpha 90.00
_cell_angle_beta 90.00
_cell_angle_gamma 90.00
loop_
_atom_site_label
_atom_site_type_symbol
_atom_site_fract_x
_atom_site_fract_y
_atom_site_fract_z
_atom_site_occupancy
Ge1 Ge 0.0000 0.0000 0.0000 1
Se1 Se 0.0000 0.5000 0.0000 1
N1 N 0.0000 0.0000 0.5000 1
Cl1 Cl 0.5000 0.5000 0.5000 1
```

Computed properties:
formation energy (no corrections) = 0.889 eV/atom
E = -3.4628 eV per atom
distance to the lowest polymorph of the same formula = 0 meV/atom
total magnetization = 0.00 Bohr magnetons per cell

---

Record 3
Density functional theory data (GGA-PBE) for a relaxed structure of La3Tb2NdSe6.

Cell and atoms, written as CIF:
```
data_La3Tb2NdSe6
_chemical_formula_sum 'La6 Tb4 Nd2 Se12'
_space_group_name_H-M_alt 'C 1 2/m 1'
_space_group_IT_number 12
_space_group_name_Hall '-C 2y'
_cell_length_a 7.2941
_cell_length_b 12.6733
_cell_length_c 7.3448
_cell_angle_alpha 90.00
_cell_angle_beta 109.42
_cell_angle_gamma 90.00
loop_
_atom_site_label
_atom_site_type_symbol
_atom_site_fract_x
_atom_site_fract_y
_atom_site_fract_z
_atom_site_occupancy
La1 La 0.0000 0.0000 0.0000 1
La2 La 0.0000 0.3369 0.0000 1
Tb1 Tb 0.0000 0.1667 0.5000 1
Nd1 Nd 0.0000 0.5000 0.5000 1
Se1 Se 0.2372 0.0000 0.7346 1
Se2 Se 0.2503 0.1704 0.2619 1
```

Computed properties:
formation energy (no corrections) = -1.904 eV/atom
E = -6.0469 eV per atom
total magnetization = 0.00 Bohr magnetons per cell

---

Record 4
Density functional theory data (GGA-PBE) for a relaxed structure of Mn2IrSe.

Cell and atoms, written as CIF:
```
data_Mn2IrSe
_chemical_formula_sum 'Mn4 Ir2 Se2'
_space_group_name_H-M_alt 'I m m m'
_space_group_IT_number 71
_space_group_name_Hall '-I 2 2'
_cell_length_a 3.1731
_cell_length_b 4.5914
_cell_length_c 8.2352
_cell_angle_alpha 90.00
_cell_angle_beta 90.00
_cell_angle_gamma 90.00
loop_
_atom_site_label
_atom_site_type_symbol
_atom_site_fract_x
_atom_site_fract_y
_atom_site_fract_z
_atom_site_occupancy
Mn1 Mn 0.0000 0.0000 0.2389 1
Ir1 Ir 0.0000 0.5000 0.0000 1
Se1 Se 0.0000 0.5000 0.5000 1
```

Computed properties:
formation energy (no corrections) = 0.225 eV/atom
E = -7.4462 eV per atom
total magnetization = 14.75 Bohr magnetons per cell

---

Record 5
Density functional theory data (GGA-PBE) for a relaxed structure of RbSmIrO6.

Cell and atoms, written as CIF:
```
data_RbSmIrO6
_chemical_formula_sum 'Rb1 Sm1 Ir1 O6'
_space_group_name_H-M_alt 'P 3 1 2'
_space_group_IT_number 149
_space_group_name_Hall 'P 3 2'
_cell_length_a 5.7448
_cell_length_b 5.7448
_cell_length_c 6.1196
_cell_angle_alpha 90.00
_cell_angle_beta 90.00
_cell_angle_gamma 120.00
loop_
_atom_site_label
_atom_site_type_symbol
_atom_site_fract_x
_atom_site_fract_y
_atom_site_fract_z
_atom_site_occupancy
Rb1 Rb 0.0000 0.0000 0.0000 1
Sm1 Sm 0.3333 0.6667 0.5000 1
Ir1 Ir 0.6667 0.3333 0.5000 1
O1 O 0.4077 0.0530 0.6784 1
```

Computed properties:
formation energy (no corrections) = -1.427 eV/atom
E = -6.3488 eV per atom
total magnetization = 0.74 Bohr magnetons per cell

---

Record 6
Density functional theory data (GGA-PBE) for a relaxed structure of RbTaSe2.

Cell and atoms, written as CIF:
```
data_RbTaSe2
_chemical_formula_sum 'Rb4 Ta4 Se8'
_space_group_name_H-M_alt 'F m -3 m'
_space_group_IT_number 225
_space_group_name_Hall '-F 4 2 3'
_cell_length_a 7.1112
_cell_length_b 7.1112
_cell_length_c 7.1112
_cell_angle_alpha 90.00
_cell_angle_beta 90.00
_cell_angle_gamma 90.00
loop_
_atom_site_label
_atom_site_type_symbol
_atom_site_fract_x
_atom_site_fract_y
_atom_site_fract_z
_atom_site_occupancy
Rb1 Rb 0.0000 0.0000 0.0000 1
Ta1 Ta 0.0000 0.0000 0.5000 1
Se1 Se 0.2500 0.2500 0.2500 1
```

Computed properties:
formation energy (no corrections) = 0.058 eV/atom
E = -4.8889 eV per atom
total magnetization = 8.00 Bohr magnetons per cell

---

Record 7
Density functional theory data (GGA-PBE) for a relaxed structure of Ca2Ge3Pt4Au.

Cell and atoms, written as CIF:
```
data_Ca2Ge3Pt4Au
_chemical_formula_sum 'Ca2 Ge3 Pt4 Au1'
_space_group_name_H-M_alt 'P -4 m 2'
_space_group_IT_number 115
_space_group_name_Hall 'P -4 -2'
_cell_length_a 4.0952
_cell_length_b 4.0952
_cell_length_c 11.5587
_cell_angle_alpha 90.00
_cell_angle_beta 90.00
_cell_angle_gamma 90.00
loop_
_atom_site_label
_atom_site_type_symbol
_atom_site_fract_x
_atom_site_fract_y
_atom_site_fract_z
_atom_site_occupancy
Ca1 Ca 0.0000 0.5000 0.2447 1
Ge1 Ge 0.0000 0.0000 0.0000 1
Ge2 Ge 0.0000 0.5000 0.6315 1
Pt1 Pt 0.0000 0.0000 0.5000 1
Pt2 Pt 0.0000 0.5000 0.8391 1
Pt3 Pt 0.5000 0.5000 0.5000 1
Au1 Au 0.5000 0.5000 0.0000 1
```

Computed properties:
E = -5.2442 eV per atom
DFT formation energy = -7.1 eV per formula unit
total magnetization = 0.00 Bohr magnetons per cell

---

Record 8
Density functional theory data (GGA-PBE) for a relaxed structure of Mn2TcAs2.

Cell and atoms, written as CIF:
```
data_Mn2TcAs2
_chemical_formula_sum 'Mn4 Tc2 As4'
_space_group_name_H-M_alt 'P 4/m b m'
_space_group_IT_number 127
_space_group_name_Hall '-P 4 2ab'
_cell_length_a 6.6354
_cell_length_b 6.6354
_cell_length_c 3.3878
_cell_angle_alpha 90.00
_cell_angle_beta 90.00
_cell_angle_gamma 90.00
loop_
_atom_site_label
_atom_site_type_symbol
_atom_site_fract_x
_atom_site_fract_y
_atom_site_fract_z
_atom_site_occupancy
Mn1 Mn 0.1445 0.3555 0.0000 1
Tc1 Tc 0.0000 0.0000 0.5000 1
As1 As 0.1542 0.6542 0.5000 1
```

Computed properties:
E = -7.6233 eV per atom
DFT formation energy = -0.1 eV per formula unit
total magnetization = 13.44 Bohr magnetons per cell

---

Record 9
Density functional theory data (GGA-PBE) for a relaxed structure of Gd2Mg.

Cell and atoms, written as CIF:
```
data_Gd2Mg
_chemical_formula_sum 'Gd4 Mg2'
_space_group_name_H-M_alt 'I 4/m m m'
_space_group_IT_number 139
_space_group_name_Hall '-I 4 2'
_cell_length_a 3.6976
_cell_length_b 3.6976
_cell_length_c 13.0515
_cell_angle_alpha 90.00
_cell_angle_beta 90.00
_cell_angle_gamma 90.00
loop_
_atom_site_label
_atom_site_type_symbol
_atom_site_fract_x
_atom_site_fract_y
_atom_site_fract_z
_atom_site_occupancy
Gd1 Gd 0.0000 0.0000 0.1586 1
Mg1 Mg 0.0000 0.0000 0.5000 1
```

Computed properties:
E = -9.9750 eV per atom
DFT formation energy = -0.2 eV per formula unit
distance to the lowest polymorph of the same formula = 9 meV/atom
total magnetization = 30.09 Bohr magnetons per cell